(1)
Entry from Alexandria: an optimized crystal structure of YZrF2 (GGA-PBE).

Properties
- uncorrected formation energy (eV/f.u.) = -4.9
- mass density (g/cm3) = 5.53
- space group = Fm-3m
- D(E_F) (states/eV/atom) = 1.1500
- E above lowest polymorph (eV per formula unit) = 3.073
- volume (Å³/cell) = 262
- total moment (μB per cell) = 0.00

Structure (POSCAR):
```
YZrF2
1.0
6.397 0.000 0.000
0.000 6.397 0.000
0.000 0.000 6.397
Y Zr F
4 4 8
Direct
0.000 0.000 0.000 Y
0.000 0.500 0.500 Y
0.500 0.000 0.500 Y
0.500 0.500 0.000 Y
0.000 0.000 0.500 Zr
0.000 0.500 0.000 Zr
0.500 0.000 0.000 Zr
0.500 0.500 0.500 Zr
0.250 0.250 0.250 F
0.250 0.250 0.750 F
0.250 0.750 0.250 F
0.250 0.750 0.750 F
0.750 0.250 0.250 F
0.750 0.250 0.750 F
0.750 0.750 0.250 F
0.750 0.750 0.750 F
```

=====

(2)
Entry from Alexandria: an optimized crystal structure of YZrF2 (GGA-PBE).

Properties
- uncorrected formation energy (eV/f.u.) = -7.6
- mass density (g/cm3) = 4.71
- space group = I-42d
- D(E_F) (states/eV/atom) = 0.8136
- E above lowest polymorph (eV per formula unit) = 0.337
- volume (Å³/cell) = 308
- total moment (μB per cell) = 0.61

Structure (POSCAR):
```
YZrF2
1.0
5.376 0.000 0.000
0.000 5.376 0.000
0.000 0.000 10.646
Y Zr F
4 4 8
Direct
0.000 0.000 0.000 Y
0.000 0.500 0.250 Y
0.500 0.000 0.750 Y
0.500 0.500 0.500 Y
0.000 0.000 0.500 Zr
0.000 0.500 0.750 Zr
0.500 0.000 0.250 Zr
0.500 0.500 0.000 Zr
0.233 0.250 0.125 F
0.250 0.733 0.375 F
0.250 0.767 0.875 F
0.267 0.250 0.625 F
0.733 0.750 0.625 F
0.750 0.233 0.875 F
0.750 0.267 0.375 F
0.767 0.750 0.125 F
```

=====

(3)
Entry from Alexandria: an optimized crystal structure of YZr3F15 (GGA-PBE).

Properties
- uncorrected formation energy (eV/f.u.) = -71.8
- mass density (g/cm3) = 4.10
- space group = C2/c
- D(E_F) (states/eV/atom) = 0.0000
- volume (Å³/cell) = 525
- total moment (μB per cell) = 0.00

Structure (POSCAR):
```
YZr3F15
1.0
5.282 -6.300 0.000
5.282 6.300 0.000
-2.288 0.000 7.883
Y Zr F
2 6 30
Direct
0.177 0.823 0.750 Y
0.823 0.177 0.250 Y
0.247 0.753 0.250 Zr
0.253 0.322 0.674 Zr
0.322 0.253 0.174 Zr
0.678 0.747 0.826 Zr
0.747 0.678 0.326 Zr
0.753 0.247 0.750 Zr
0.008 0.277 0.779 F
0.046 0.252 0.471 F
0.065 0.188 0.151 F
0.158 0.539 0.681 F
0.188 0.065 0.651 F
0.224 0.494 0.221 F
0.224 0.720 0.996 F
0.252 0.046 0.971 F
0.277 0.008 0.279 F
0.280 0.776 0.504 F
0.318 0.350 0.945 F
0.350 0.318 0.445 F
0.461 0.842 0.819 F
0.468 0.532 0.750 F
0.494 0.224 0.721 F
0.506 0.776 0.279 F
0.532 0.468 0.250 F
0.539 0.158 0.181 F
0.650 0.682 0.555 F
0.682 0.650 0.055 F
0.720 0.224 0.496 F
0.723 0.992 0.721 F
0.748 0.954 0.029 F
0.776 0.280 0.004 F
0.776 0.506 0.779 F
0.812 0.935 0.349 F
0.842 0.461 0.319 F
0.935 0.812 0.849 F
0.954 0.748 0.529 F
0.992 0.723 0.221 F
```

=====

(4)
Entry from Alexandria: an optimized crystal structure of YZr3F15 (GGA-PBE).

Properties
- uncorrected formation energy (eV/f.u.) = -71.8
- mass density (g/cm3) = 4.10
- space group = P-1
- D(E_F) (states/eV/atom) = 0.0000
- volume (Å³/cell) = 1049
- total moment (μB per cell) = 0.00

Structure (POSCAR):
```
YZr3F15
1.0
8.211 0.000 0.000
-1.452 8.088 0.000
-2.908 -3.495 15.792
Y Zr F
4 12 60
Direct
0.176 0.325 0.126 Y
0.252 0.820 0.588 Y
0.748 0.180 0.412 Y
0.824 0.675 0.874 Y
0.176 0.321 0.626 Zr
0.249 0.247 0.875 Zr
0.249 0.254 0.376 Zr
0.251 0.825 0.087 Zr
0.324 0.747 0.839 Zr
0.324 0.754 0.337 Zr
0.676 0.246 0.663 Zr
0.676 0.253 0.161 Zr
0.749 0.175 0.913 Zr
0.751 0.746 0.624 Zr
0.751 0.753 0.125 Zr
0.824 0.679 0.374 Zr
0.005 0.777 0.139 F
0.006 0.776 0.640 F
0.031 0.746 0.476 F
0.045 0.756 0.986 F
0.053 0.690 0.325 F
0.066 0.680 0.825 F
0.152 0.062 0.593 F
0.155 0.042 0.092 F
0.181 0.538 0.578 F
0.186 0.566 0.076 F
0.223 0.223 0.249 F
0.223 0.991 0.863 F
0.223 0.995 0.359 F
0.224 0.221 0.746 F
0.247 0.530 0.732 F
0.257 0.549 0.237 F
0.275 0.275 0.505 F
0.275 0.510 0.389 F
0.280 0.504 0.889 F
0.282 0.278 0.002 F
0.311 0.851 0.221 F
0.324 0.842 0.732 F
0.350 0.812 0.973 F
0.352 0.819 0.467 F
0.445 0.345 0.657 F
0.461 0.348 0.161 F
0.465 0.036 0.119 F
0.473 0.043 0.634 F
0.494 0.728 0.113 F
0.496 0.715 0.608 F
0.504 0.285 0.392 F
0.506 0.272 0.887 F
0.527 0.957 0.366 F
0.535 0.964 0.881 F
0.539 0.652 0.839 F
0.555 0.655 0.343 F
0.648 0.181 0.533 F
0.650 0.188 0.027 F
0.676 0.158 0.268 F
0.689 0.149 0.779 F
0.718 0.722 0.998 F
0.720 0.496 0.111 F
0.725 0.490 0.611 F
0.725 0.725 0.495 F
0.743 0.451 0.763 F
0.753 0.470 0.268 F
0.776 0.779 0.254 F
0.777 0.005 0.641 F
0.777 0.009 0.137 F
0.777 0.777 0.751 F
0.814 0.434 0.924 F
0.819 0.462 0.422 F
0.845 0.958 0.908 F
0.848 0.938 0.407 F
0.934 0.320 0.175 F
0.947 0.310 0.675 F
0.955 0.244 0.014 F
0.969 0.254 0.524 F
0.994 0.224 0.360 F
0.995 0.223 0.861 F
```

=====

(5)
Entry from Alexandria: an optimized crystal structure of YbF2 (GGA-PBE).

Properties
- uncorrected formation energy (eV/f.u.) = -11.1
- mass density (g/cm3) = 6.59
- space group = P4_2/mnm
- D(E_F) (states/eV/atom) = 5.2903
- volume (Å³/cell) = 106
- total moment (μB per cell) = 0.54

Structure (POSCAR):
```
YbF2
1.0
5.357 0.000 0.000
0.000 5.357 0.000
0.000 0.000 3.704
Yb F
2 4
Direct
0.000 0.000 0.000 Yb
0.500 0.500 0.500 Yb
0.192 0.192 0.500 F
0.308 0.692 0.000 F
0.692 0.308 0.000 F
0.808 0.808 0.500 F
```

=====

(6)
Entry from Alexandria: an optimized crystal structure of YbZr3F15 (GGA-PBE).

Properties
- uncorrected formation energy (eV/f.u.) = -69.0
- mass density (g/cm3) = 4.64
- space group = C2/c
- D(E_F) (states/eV/atom) = 1.1341
- volume (Å³/cell) = 524
- total moment (μB per cell) = 2.30

Structure (POSCAR):
```
YbZr3F15
1.0
5.278 -6.295 0.000
5.278 6.295 0.000
-2.274 0.000 7.878
Yb Zr F
2 6 30
Direct
0.178 0.822 0.750 Yb
0.822 0.178 0.250 Yb
0.248 0.752 0.250 Zr
0.254 0.322 0.675 Zr
0.322 0.254 0.175 Zr
0.678 0.746 0.825 Zr
0.746 0.678 0.325 Zr
0.752 0.248 0.750 Zr
0.009 0.277 0.780 F
0.046 0.252 0.472 F
0.065 0.187 0.151 F
0.157 0.539 0.681 F
0.187 0.065 0.651 F
0.224 0.494 0.222 F
0.224 0.720 0.996 F
0.252 0.046 0.972 F
0.277 0.009 0.280 F
0.280 0.776 0.504 F
0.318 0.350 0.946 F
0.350 0.318 0.446 F
0.461 0.843 0.819 F
0.467 0.533 0.750 F
0.494 0.224 0.722 F
0.506 0.776 0.278 F
0.533 0.467 0.250 F
0.539 0.157 0.181 F
0.650 0.682 0.554 F
0.682 0.650 0.054 F
0.720 0.224 0.496 F
0.723 0.991 0.720 F
0.748 0.954 0.028 F
0.776 0.280 0.004 F
0.776 0.506 0.778 F
0.813 0.935 0.349 F
0.843 0.461 0.319 F
0.935 0.813 0.849 F
0.954 0.748 0.528 F
0.991 0.723 0.220 F
```

=====

(7)
Entry from Alexandria: an optimized crystal structure of Zn4F (GGA-PBE).

Properties
- uncorrected formation energy (eV/f.u.) = -0.4
- mass density (g/cm3) = 5.40
- space group = Pm-3m
- D(E_F) (states/eV/atom) = 0.4830
- volume (Å³/cell) = 86
- total moment (μB per cell) = 0.00

Structure (POSCAR):
```
Zn4F
1.0
4.420 0.000 0.000
0.000 4.420 0.000
0.000 0.000 4.420
Zn F
4 1
Direct
0.000 0.000 0.000 Zn
0.000 0.500 0.500 Zn
0.500 0.000 0.500 Zn
0.500 0.500 0.000 Zn
0.500 0.500 0.500 F
```

=====

(8)
Entry from Alexandria: an optimized crystal structure of ZnF5 (GGA-PBE).

Properties
- uncorrected formation energy (eV/f.u.) = -6.0
- mass density (g/cm3) = 3.22
- space group = Cm
- D(E_F) (states/eV/atom) = 0.3307
- volume (Å³/cell) = 165
- total moment (μB per cell) = 2.08

Structure (POSCAR):
```
ZnF5
1.0
7.776 0.000 0.000
0.000 3.019 0.000
-3.697 0.000 7.047
Zn F
2 10
Direct
0.000 0.000 0.000 Zn
0.500 0.500 0.000 Zn
0.047 0.500 0.175 F
0.104 0.000 0.527 F
0.219 0.500 0.962 F
0.396 0.500 0.432 F
0.415 0.000 0.796 F
0.547 0.000 0.175 F
0.604 0.500 0.527 F
0.719 0.000 0.962 F
0.896 0.000 0.432 F
0.915 0.500 0.796 F
```